# LaW2 | Alexandria via LeMat-Bulk | GGA-PBE | optimized geometry
data_LaW2
_chemical_formula_sum 'La8 W16'
_cell_length_a 4.1729
_cell_length_b 4.1729
_cell_length_c 32.8518
_cell_angle_alpha 90.00
_cell_angle_beta 90.00
_cell_angle_gamma 90.00
_space_group_name_H-M_alt 'I 41/a m d'
_space_group_IT_number 141
loop_
_space_group_symop_operation_xyz
'x,y,z'
'-x,-y,-z'
'-y+1/4,x+3/4,z+1/4'
'y+1/4,-x+3/4,-z+1/4'
'-x+1/2,-y,z+1/2'
'x+1/2,y,-z+1/2'
'y+1/4,-x+1/4,z+3/4'
'-y+1/4,x+1/4,-z+3/4'
'x,-y,-z'
'-x,y,z'
'-y+1/4,-x+1/4,-z+3/4'
'y+1/4,x+1/4,z+3/4'
'-x+1/2,y,-z+1/2'
'x+1/2,-y,z+1/2'
'y+1/4,x+3/4,-z+1/4'
'-y+1/4,-x+3/4,z+1/4'
'x+1/2,y+1/2,z+1/2'
'-x+1/2,-y+1/2,-z+1/2'
'-y+3/4,x+1/4,z+3/4'
'y+3/4,-x+1/4,-z+3/4'
'-x,-y+1/2,z'
'x,y+1/2,-z'
'y+3/4,-x+3/4,z+1/4'
'-y+3/4,x+3/4,-z+1/4'
'x+1/2,-y+1/2,-z+1/2'
'-x+1/2,y+1/2,z+1/2'
'-y+3/4,-x+3/4,-z+1/4'
'y+3/4,x+3/4,z+1/4'
'-x,y+1/2,-z'
'x,-y+1/2,z'
'y+3/4,x+1/4,-z+3/4'
'-y+3/4,-x+1/4,z+3/4'
loop_
_atom_site_label
_atom_site_type_symbol
_atom_site_fract_x
_atom_site_fract_y
_atom_site_fract_z
La1 La 0.0000 0.2500 0.2910
W1 W 0.0000 0.2500 0.1250
W2 W 0.0000 0.2500 0.8257
# * uncorrected energy: -29.1 eV/f.u.

# LaW3 | Alexandria via LeMat-Bulk | GGA-PBE | optimized geometry
data_LaW3
_chemical_formula_sum 'La3 W9'
_cell_length_a 9.5359
_cell_length_b 9.5359
_cell_length_c 2.8399
_cell_angle_alpha 90.00
_cell_angle_beta 90.00
_cell_angle_gamma 120.00
_space_group_name_H-M_alt 'R -3 m'
_space_group_IT_number 166
_space_group_name_Hall '-R 3 2"'
loop_
_atom_site_label
_atom_site_type_symbol
_atom_site_fract_x
_atom_site_fract_y
_atom_site_fract_z
La1 La 0.0000 0.0000 0.0000
W1 W 0.0000 0.5000 0.0000
# * excess energy over the best structure of this formula in the dataset: 306.1 meV per atom
# * uncorrected energy: -40.7 eV/f.u.

# LaW3 | Alexandria via LeMat-Bulk | GGA-PBE | optimized geometry
data_LaW3
_chemical_formula_sum 'La1 W3'
_cell_length_a 4.2898
_cell_length_b 4.2898
_cell_length_c 4.2898
_cell_angle_alpha 90.00
_cell_angle_beta 90.00
_cell_angle_gamma 90.00
_space_group_name_H-M_alt 'P m -3 m'
_space_group_IT_number 221
_space_group_name_Hall '-P 4 2 3'
loop_
_atom_site_label
_atom_site_type_symbol
_atom_site_fract_x
_atom_site_fract_y
_atom_site_fract_z
La1 La 0.0000 0.0000 0.0000
W1 W 0.0000 0.5000 0.5000
# * excess energy over the best structure of this formula in the dataset: 874.8 meV per atom
# * uncorrected energy: -38.4 eV/f.u.

# LaW7 | Alexandria via LeMat-Bulk | GGA-PBE | optimized geometry
data_LaW7
_chemical_formula_sum 'La4 W28'
_cell_length_a 8.2828
_cell_length_b 8.2828
_cell_length_c 8.2828
_cell_angle_alpha 90.00
_cell_angle_beta 90.00
_cell_angle_gamma 90.00
_space_group_name_H-M_alt 'F m -3 m'
_space_group_IT_number 225
_space_group_name_Hall '-F 4 2 3'
loop_
_atom_site_label
_atom_site_type_symbol
_atom_site_fract_x
_atom_site_fract_y
_atom_site_fract_z
La1 La 0.0000 0.0000 0.0000
W1 W 0.0000 0.0000 0.5000
W2 W 0.0000 0.2500 0.2500
# * uncorrected energy: -87.7 eV/f.u.